Material: AcLuCuOs
Method: DFT, PBE-GGA
State: relaxed

Summary:
* formation energy from the elements: -39 meV/atom
* total moment: 0.002 Bohr magnetons per cell
* V: 357 Å³ per cell

a b c (Å): 7.096 7.096 7.096
angles (deg): 90.00 90.00 90.00
Space group F-43m (No. 216)
Unique sites:
Ac  0.000  0.000  0.000 (multiplicity 4)
Lu  0.000  0.000  0.500 (multiplicity 4)
Cu  0.250  0.250  0.750 (multiplicity 4)
Os  0.250  0.250  0.250 (multiplicity 4)